Below is a geometry-optimized MgCd4Au structure, with properties calculated at the PBE level.

## Properties
- Total DFT energy (no corrections): -1.37 eV per atom
- Energy above the lowest structure with this stoichiometry: 161 meV per atom
- Calculated density: 8.57 Mg/m³
- Formation energy from the elements: 0.047 eV/atom

CIF file:
```
data_MgCd4Au
_symmetry_space_group_name_H-M 'F -4 3 m'
_symmetry_Int_Tables_number 216
_symmetry_space_group_name_Hall 'F -4 2 3'
_cell_length_a 8.0419
_cell_length_b 8.0419
_cell_length_c 8.0419
_cell_angle_alpha 90.00
_cell_angle_beta 90.00
_cell_angle_gamma 90.00
loop_
_atom_site_label
_atom_site_type_symbol
_atom_site_fract_x
_atom_site_fract_y
_atom_site_fract_z
Mg1 Mg 0.0000 0.0000 0.0000
Cd1 Cd 0.1247 0.1247 0.3753
Au1 Au 0.2500 0.2500 0.7500
```